# 1
An optimized crystal structure of ScMn2Sb, computed with PBE.

Lattice parameters (Å, degrees): 7.596 7.596 6.067 51.25 51.25 90.00
Fractional coordinates of all 8 atoms:
Sc (0.500, 0.500, 0.000)
Sc (0.250, 0.750, 0.500)
Sb (0.000, 0.000, 0.000)
Sb (0.750, 0.250, 0.500)
Mn (0.646, 0.125, 0.250)
Mn (0.104, 0.625, 0.250)
Mn (0.375, 0.354, 0.750)
Mn (0.875, 0.896, 0.750)

Total DFT energy (no corrections) (eV per formula unit): -27.6
Symmetry: I-42d, No. 122
Energy relative to the elements, uncorrected (eV per atom): 0.309

# 2
An optimized crystal structure of Sc2MnSb, computed with PBE.

Lattice parameters (Å, degrees): 4.213 3.792 5.675 70.47 90.00 90.00
Fractional coordinates of all 4 atoms:
Mn (0.000, 0.707, 0.461)
Sb (0.500, 0.549, 0.776)
Sc (0.000, 0.973, 0.928)
Sc (0.500, 0.270, 0.334)

Total DFT energy (no corrections) (eV per formula unit): -27.6
Symmetry: Amm2, No. 38
Energy relative to the elements, uncorrected (eV per atom): -0.405

# 3
An optimized crystal structure of ScMnSb2, computed with PBE.

Lattice parameters (Å, degrees): 5.717 5.717 4.345 80.99 80.99 39.71
Fractional coordinates of all 4 atoms:
Mn (0.264, 0.264, 0.169)
Sb (0.012, 0.012, 0.076)
Sb (0.749, 0.749, 0.665)
Sc (0.475, 0.475, 0.591)

Total DFT energy (no corrections) (eV per formula unit): -24.9
Symmetry: Cm, No. 8
Energy relative to the elements, uncorrected (eV per atom): -0.298

# 4
An optimized crystal structure of ScMn2Sb, computed with PBE.

Lattice parameters (Å, degrees): 3.460 3.460 5.978 90.00 90.00 90.02
Fractional coordinates of all 4 atoms:
Mn (0.000, 0.000, 0.019)
Mn (0.500, 0.500, 0.237)
Sb (0.000, 0.000, 0.469)
Sc (0.500, 0.500, 0.775)

Total DFT energy (no corrections) (eV per formula unit): -28.8
Symmetry: P4mm, No. 99
Energy relative to the elements, uncorrected (eV per atom): 0.005

# 5
An optimized crystal structure of Sc2MnSb, computed with PBE.

Lattice parameters (Å, degrees): 3.800 3.804 5.945 90.00 90.00 90.00
Fractional coordinates of all 4 atoms:
Mn (0.000, 0.000, 0.486)
Sb (0.500, 0.500, 0.758)
Sc (0.000, 0.000, 0.985)
Sc (0.500, 0.500, 0.271)

Total DFT energy (no corrections) (eV per formula unit): -26.7
Symmetry: P4mm, No. 99
Energy relative to the elements, uncorrected (eV per atom): -0.191

# 6
An optimized crystal structure of Sc2MnSb, computed with PBE.

Lattice parameters (Å, degrees): 4.431 4.432 4.093 90.00 90.00 90.00
Fractional coordinates of all 4 atoms:
Mn (0.500, 0.000, 0.500)
Sb (0.000, 0.500, 0.500)
Sc (0.000, 0.000, 0.000)
Sc (0.500, 0.500, 0.000)

Total DFT energy (no corrections) (eV per formula unit): -27.4
Symmetry: P4/mmm, No. 123
Energy relative to the elements, uncorrected (eV per atom): -0.365

# 7
An optimized crystal structure of Sc2MnSb, computed with PBE.

Lattice parameters (Å, degrees): 9.827 9.827 9.827 19.02 19.02 19.02
Fractional coordinates of all 4 atoms:
Mn (0.500, 0.500, 0.500)
Sb (0.755, 0.755, 0.755)
Sc (0.002, 0.002, 0.002)
Sc (0.243, 0.243, 0.243)

Total DFT energy (no corrections) (eV per formula unit): -25.7
Symmetry: R3m, No. 160
Energy relative to the elements, uncorrected (eV per atom): 0.056

# 8
An optimized crystal structure of Sc2MnSb, computed with PBE.

Lattice parameters (Å, degrees): 9.753 9.753 9.753 19.27 19.27 19.27
Fractional coordinates of all 4 atoms:
Sc (0.895, 0.895, 0.895)
Sc (0.105, 0.105, 0.105)
Sb (0.000, 0.000, 0.000)
Mn (0.500, 0.500, 0.500)

Total DFT energy (no corrections) (eV per formula unit): -25.2
Symmetry: R-3m, No. 166
Energy relative to the elements, uncorrected (eV per atom): 0.197